Compound: CaFe2AsOs
Source: Alexandria
Functional: GGA-PBE
Structure: optimized geometry

Cell: 4.2910 4.2910 5.1101 Å, 90.00 90.00 90.00°
Space group P4/mmm (No. 123)
One atom of each set of equivalent atoms:
Ca (0.0000, 0.0000, 0.0000) x1
Fe (0.0000, 0.5000, 0.5000) x2
As (0.0000, 0.0000, 0.5000) x1
Os (0.5000, 0.5000, 0.0000) x1

Properties
As for the formation energy: 1.2803 eV per atom. As for the density of states at the Fermi level: 5.153 states/eV per cell. The calculated total energy comes out at -5.6810 eV per atom.



Compound: Ca3FeAs2Pd9
Source: Alexandria
Functional: GGA-PBE
Structure: optimized geometry

Cell: 6.4881 6.4881 8.7426 Å, 90.00 90.00 120.00°
Space group P-3m1 (No. 164)
One atom of each set of equivalent atoms:
Ca (0.0000, 0.0000, 0.0000) x1
Ca (0.3333, 0.6667, 0.6922) x2
Fe (0.0000, 0.0000, 0.5000) x1
As (0.3333, 0.6667, 0.1738) x2
Pd (0.0000, 0.5000, 0.0000) x3
Pd (0.1918, 0.3835, 0.3884) x6

Properties
As for the formation energy: -0.3618 eV per atom. As for the density of states at the Fermi level: 5.249 states/eV per cell. The calculated total energy comes out at -5.0619 eV per atom.



Compound: CaFeAs2Pd
Source: Alexandria
Functional: GGA-PBE
Structure: optimized geometry

Cell: 4.1928 4.1928 10.4987 Å, 90.00 90.00 90.00°
Space group I-4m2 (No. 119)
One atom of each set of equivalent atoms:
Ca (0.0000, 0.0000, 0.0000) x2
Fe (0.0000, 0.5000, 0.2500) x2
As (0.0000, 0.0000, 0.3750) x4
Pd (0.0000, 0.5000, 0.7500) x2

Properties
As for the formation energy: -0.5789 eV per atom. As for the density of states at the Fermi level: 7.151 states/eV per cell. The calculated total energy comes out at -5.5701 eV per atom.



Compound: CaFeAs2Rh
Source: Alexandria
Functional: GGA-PBE
Structure: optimized geometry

Cell: 4.0318 4.0318 10.9389 Å, 90.00 90.00 90.00°
Space group I-4m2 (No. 119)
One atom of each set of equivalent atoms:
Ca (0.0000, 0.0000, 0.0000) x2
Fe (0.0000, 0.5000, 0.7500) x2
As (0.0000, 0.0000, 0.3689) x4
Rh (0.0000, 0.5000, 0.2500) x2

Properties
As for the formation energy: -0.6355 eV per atom. As for the density of states at the Fermi level: 4.442 states/eV per cell. The calculated total energy comes out at -6.0585 eV per atom.